The following is a PBE-GGA calculation of crystalline Ba2HfO at its relaxed geometry, from the Alexandria database.

Computed properties:
Formation energy from raw total energies   -0.28 eV/atom
Final energy   -4.970 eV per atom
Total moment   2.0 μB per formula unit

a = 7.8129 Å, b = 7.8129 Å, c = 7.2263 Å
α = 57.28°, β = 57.28°, γ = 90.00°
Last column: nearest neighbours and their distance in Å.
Sites, in units of the cell vectors:
1 Ba 0.2376 0.6250 0.2500  2 O 2.51
2 Ba 0.3750 0.4876 0.7500  2 O 2.51
3 Ba 0.8750 0.7624 0.7500  2 O 2.51
4 Ba 0.5124 0.1250 0.2500  2 O 2.51
5 O 0.5000 0.5000 0.0000  4 Ba 2.51
6 O 0.2500 0.7500 0.5000  4 Ba 2.51
7 Hf 0.7500 0.2500 0.5000  4 Ba 3.63
8 Hf 0.0000 0.0000 0.0000  4 Ba 3.63

***

The following is a PBE-GGA calculation of crystalline Ba2HfO at its relaxed geometry, from the Alexandria database.

Computed properties:
Formation energy from raw total energies   -1.08 eV/atom
Final energy   -5.766 eV per atom
Total moment   0.0 μB per formula unit

a = 4.2242 Å, b = 4.1072 Å, c = 15.7467 Å
α = 90.00°, β = 90.00°, γ = 90.00°
Last column: nearest neighbours and their distance in Å.
Sites, in units of the cell vectors:
1 Ba 0.0000 0.5000 0.8608  2 O 3.04
2 Ba 0.5000 0.0000 0.3608  2 O 3.04
3 Ba 0.0000 0.5000 0.1392  2 O 3.04
4 Ba 0.5000 0.0000 0.6392  2 O 3.04
5 Hf 0.0000 0.5000 0.5000  2 O 2.05
6 Hf 0.5000 0.0000 0.0000  2 O 2.05
7 O 0.0000 0.0000 0.5000  2 Hf 2.05
8 O 0.5000 0.5000 0.0000  2 Hf 2.05

***

The following is a PBE-GGA calculation of crystalline BaHf2O5 at its relaxed geometry, from the Alexandria database.

Computed properties:
Formation energy from raw total energies   -3.26 eV/atom
Final energy   -9.092 eV per atom
Total moment   0.0 μB per formula unit

a = 3.3838 Å, b = 6.4950 Å, c = 6.4950 Å
α = 50.08°, β = 74.90°, γ = 74.90°
Last column: nearest neighbours and their distance in Å.
Sites, in units of the cell vectors:
1 Hf 0.1832 0.3168 0.3168  7 O 2.07-2.19
2 Hf 0.8168 0.6832 0.6832  7 O 2.07-2.19
3 O 0.6651 0.0849 0.5849  3 Hf 2.19
4 O 0.0000 0.5000 0.5000  2 Hf 2.07
5 O 0.6651 0.5849 0.0849  3 Hf 2.19
6 O 0.3349 0.9151 0.4151  3 Hf 2.19
7 O 0.3349 0.4151 0.9151  3 Hf 2.19
8 Ba 0.0000 0.0000 0.0000  10 O 2.75-2.87

***

The following is a PBE-GGA calculation of crystalline BaHfO3 at its relaxed geometry, from the Alexandria database.

Computed properties:
Formation energy from raw total energies   -0.02 eV/atom
Final energy   -5.367 eV per atom
Total moment   0.0 μB per formula unit

a = 4.5949 Å, b = 4.5949 Å, c = 4.5949 Å
α = 90.00°, β = 90.00°, γ = 90.00°
Last column: nearest neighbours and their distance in Å.
Sites, in units of the cell vectors:
1 O 0.5000 0.0000 0.0000  2 Ba 2.30
2 O 0.0000 0.0000 0.5000  2 Ba 2.30
3 O 0.0000 0.5000 0.0000  2 Ba 2.30
4 Hf 0.5000 0.5000 0.5000  12 O 3.25
5 Ba 0.0000 0.0000 0.0000  6 O 2.30

***

The following is a PBE-GGA calculation of crystalline BaHfO3 at its relaxed geometry, from the Alexandria database.

Computed properties:
Formation energy from raw total energies   -3.11 eV/atom
Final energy   -8.455 eV per atom
Total moment   0.0 μB per formula unit

a = 3.5245 Å, b = 5.5723 Å, c = 7.4618 Å
α = 90.00°, β = 90.02°, γ = 90.00°
Last column: nearest neighbours and their distance in Å.
Sites, in units of the cell vectors:
1 O 0.7501 0.9945 0.1238  3 Hf 2.16-2.24
2 O 0.2499 0.0055 0.8762  3 Hf 2.16-2.24
3 O 0.7501 0.5055 0.1238  3 Hf 2.16-2.24
4 O 0.7498 0.2500 0.6290  1 Hf 2.06
5 O 0.2499 0.4945 0.8762  3 Hf 2.16-2.24
6 O 0.2502 0.7500 0.3710  1 Hf 2.06
7 Hf 0.7498 0.2500 0.9052  7 O 2.06-2.24
8 Hf 0.2502 0.7500 0.0948  7 O 2.06-2.24
9 Ba 0.2496 0.2500 0.3687  8 O 2.62-2.91
10 Ba 0.7504 0.7500 0.6313  8 O 2.62-2.91

***

The following is a PBE-GGA calculation of crystalline Ba2HfO at its relaxed geometry, from the Alexandria database.

Computed properties:
Formation energy from raw total energies   -1.08 eV/atom
Final energy   -5.767 eV per atom
Total moment   0.0 μB per formula unit

a = 5.7864 Å, b = 16.0806 Å, c = 5.7878 Å
α = 90.00°, β = 90.39°, γ = 90.00°
Last column: nearest neighbours and their distance in Å.
Sites, in units of the cell vectors:
1 Hf 0.2128 0.0000 0.7876  2 O 2.06
2 Hf 0.7872 0.5000 0.7124  2 O 2.06
3 Hf 0.2128 0.5000 0.2876  2 O 2.06
4 Hf 0.7872 0.0000 0.2124  2 O 2.06
5 O 0.0000 0.0000 0.5000  2 Hf 2.06
6 O 0.5000 0.0000 0.0000  2 Hf 2.06
7 O 0.5000 0.5000 0.5000  2 Hf 2.06
8 O 0.0000 0.5000 0.0000  2 Hf 2.06
9 Ba 0.2617 0.6390 0.7640  2 O 3.03-3.04
10 Ba 0.7383 0.8610 0.7360  2 O 3.03-3.04
11 Ba 0.7383 0.1390 0.7360  2 O 3.03-3.04
12 Ba 0.2617 0.8610 0.2640  2 O 3.03-3.04
13 Ba 0.7383 0.6390 0.2360  2 O 3.03-3.04
14 Ba 0.7383 0.3610 0.2360  2 O 3.03-3.04
15 Ba 0.2617 0.1390 0.2640  2 O 3.03-3.04
16 Ba 0.2617 0.3610 0.7640  2 O 3.03-3.04

***

The following is a PBE-GGA calculation of crystalline Ba2HfO at its relaxed geometry, from the Alexandria database.

Computed properties:
Formation energy from raw total energies   -1.02 eV/atom
Final energy   -5.712 eV per atom
Total moment   0.0 μB per formula unit

a = 9.1455 Å, b = 6.1081 Å, c = 9.8138 Å
α = 90.00°, β = 92.65°, γ = 90.00°
Last column: nearest neighbours and their distance in Å.
Sites, in units of the cell vectors:
1 Hf 0.2580 0.0000 0.6562  2 O 2.03
2 Hf 0.3235 0.5000 0.8387  2 O 2.01
3 Hf 0.3235 0.0000 0.3387  2 O 2.01
4 Hf 0.2580 0.5000 0.1562  2 O 2.03
5 O 0.3908 0.7622 0.7354  2 Hf 2.01-2.03
6 O 0.3908 0.2622 0.2354  2 Hf 2.01-2.03
7 O 0.3908 0.7378 0.2354  2 Hf 2.01-2.03
8 O 0.3908 0.2378 0.7354  2 Hf 2.01-2.03
9 Ba 0.9280 0.5000 0.8426  3 Ba 3.54-3.64, 1 Hf 3.62
10 Ba 0.6601 0.5000 0.1657  2 O 2.97
11 Ba 0.4615 0.0000 0.0055  4 O 2.87-3.07
12 Ba 0.0463 0.5000 0.4940  4 Ba 3.54-3.79, 3 Hf 3.91-3.92
13 Ba 0.6601 0.0000 0.6657  2 O 2.97
14 Ba 0.9280 0.0000 0.3426  3 Ba 3.54-3.64, 1 Hf 3.62
15 Ba 0.0463 0.0000 0.9940  4 Ba 3.54-3.79, 3 Hf 3.91-3.92
16 Ba 0.4615 0.5000 0.5055  4 O 2.87-3.07

***

The following is a PBE-GGA calculation of crystalline BaHfO3 at its relaxed geometry, from the Alexandria database.

Computed properties:
Formation energy from raw total energies   -2.08 eV/atom
Final energy   -7.431 eV per atom
Total moment   0.2 μB per formula unit

a = 4.3304 Å, b = 4.3304 Å, c = 10.8953 Å
α = 78.54°, β = 78.54°, γ = 90.00°
Last column: nearest neighbours and their distance in Å.
Sites, in units of the cell vectors:
1 O 0.6595 0.9243 0.1515  1 Hf 1.96, 1 O 2.04
2 O 0.0757 0.8110 0.8485  1 Hf 1.96, 1 O 2.04
3 O 0.2559 0.2559 0.4882  2 Hf 2.17
4 O 0.7441 0.7441 0.5118  2 Hf 2.17
5 O 0.1890 0.9243 0.1515  1 Hf 1.96, 1 O 2.04
6 O 0.0757 0.3405 0.8485  1 Hf 1.96, 1 O 2.04
7 Hf 0.0000 0.0000 0.0000  4 O 1.96
8 Hf 0.2500 0.7500 0.5000  4 O 2.17
9 Ba 0.8602 0.3602 0.2795  6 O 2.79-3.07
10 Ba 0.6398 0.1398 0.7205  6 O 2.79-3.07

***

- Which value of total moment does entry 1 give?
  2.0 μB per formula unit